Entry 1:
DFT (GGA-PBE) results for a geometry-optimized Rb3Tm2ThSe6 structure.

Values from the calculation:
- ΔE_f (raw): -1645 meV per atom

a b c (Å): 7.310 7.310 8.399
angles (deg): 98.35 98.35 120.01
Fractional positions:
Rb: 0.000 0.000 0.000
Rb: 0.334 0.666 0.000
Rb: 0.666 0.334 0.000
Tm: 0.167 0.833 0.500
Tm: 0.833 0.167 0.500
Th: 0.500 0.500 0.500
Se: 0.094 0.434 0.302
Se: 0.226 0.226 0.697
Se: 0.434 0.094 0.302
Se: 0.566 0.906 0.698
Se: 0.774 0.774 0.303
Se: 0.906 0.566 0.698

Entry 2:
DFT (GGA-PBE) results for a geometry-optimized Sm2Th2Ru3 structure.

Values from the calculation:
- Polymorph energy (0 for the lowest one): 0.0 meV per atom
- DFT formation energy: -0.3536 eV per atom

a b c (Å): 9.040 9.040 9.040
angles (deg): 30.64 30.64 30.64
Fractional positions:
Sm: 0.128 0.128 0.128
Sm: 0.872 0.872 0.872
Th: 0.379 0.379 0.379
Th: 0.621 0.621 0.621
Ru: 0.000 0.000 0.000
Ru: 0.256 0.256 0.256
Ru: 0.744 0.744 0.744

Entry 3:
DFT (GGA-PBE) results for a geometry-optimized Sm8Tl4Se3S structure.

Values from the calculation:
- ΔE_f (raw): -1103 meV per atom

a b c (Å): 8.093 8.093 9.277
angles (deg): 116.05 116.05 59.81
Fractional positions:
Sm: 0.234 0.746 0.714
Sm: 0.235 0.235 0.714
Sm: 0.254 0.766 0.286
Sm: 0.260 0.260 0.279
Sm: 0.740 0.740 0.721
Sm: 0.746 0.234 0.714
Sm: 0.765 0.765 0.286
Sm: 0.766 0.254 0.286
Tl: 0.000 0.000 0.000
Tl: 0.000 0.500 0.000
Tl: 0.500 0.000 0.000
Tl: 0.500 0.500 0.000
Se: 0.000 0.500 0.500
Se: 0.500 0.000 0.500
Se: 0.500 0.500 0.500
S: 0.000 0.000 0.500

Entry 4:
DFT (GGA-PBE) results for a geometry-optimized Nd11In9Ag4 structure.

Values from the calculation:
- DFT formation energy: -0.4321 eV per atom

a b c (Å): 13.673 13.673 3.860
angles (deg): 90.00 90.00 112.78
Fractional positions:
Nd: 0.000 0.000 0.000
Nd: 0.059 0.409 0.000
Nd: 0.162 0.838 0.000
Nd: 0.302 0.302 0.000
Nd: 0.369 0.631 0.000
Nd: 0.409 0.059 0.000
Nd: 0.591 0.941 0.000
Nd: 0.631 0.369 0.000
Nd: 0.698 0.698 0.000
Nd: 0.838 0.162 0.000
Nd: 0.941 0.591 0.000
In: 0.072 0.216 0.500
In: 0.161 0.631 0.500
In: 0.216 0.072 0.500
In: 0.369 0.839 0.500
In: 0.500 0.500 0.500
In: 0.631 0.161 0.500
In: 0.784 0.928 0.500
In: 0.839 0.369 0.500
In: 0.928 0.784 0.500
Ag: 0.246 0.448 0.500
Ag: 0.448 0.246 0.500
Ag: 0.552 0.754 0.500
Ag: 0.754 0.552 0.500

Entry 5:
DFT (GGA-PBE) results for a geometry-optimized CaPrGa2 structure.

Values from the calculation:
- DFT formation energy: -0.4918 eV per atom

a b c (Å): 3.680 3.680 7.493
angles (deg): 90.00 90.00 90.00
Fractional positions:
Ca: 0.000 0.000 0.000
Pr: 0.000 0.000 0.500
Ga: 0.500 0.500 0.244
Ga: 0.500 0.500 0.756

Entry 6:
DFT (GGA-PBE) results for a geometry-optimized LiLaPb2Se4 structure.

Values from the calculation:
- ΔE_f (raw): -1120 meV per atom

a b c (Å): 7.308 4.339 7.539
angles (deg): 90.00 108.87 90.00
Fractional positions:
Li: 0.000 0.000 0.000
La: 0.500 0.500 0.000
Pb: 0.000 0.500 0.500
Pb: 0.500 0.000 0.500
Se: 0.243 0.500 0.235
Se: 0.248 0.000 0.765
Se: 0.752 0.000 0.235
Se: 0.757 0.500 0.765

Entry 7:
DFT (GGA-PBE) results for a geometry-optimized Ca3YGa4 structure.

Values from the calculation:
- DFT formation energy: -0.4785 eV per atom

a b c (Å): 3.629 3.629 14.739
angles (deg): 90.00 90.00 90.00
Fractional positions:
Ca: 0.000 0.000 0.000
Ca: 0.000 0.000 0.252
Ca: 0.000 0.000 0.748
Y: 0.000 0.000 0.500
Ga: 0.500 0.500 0.127
Ga: 0.500 0.500 0.380
Ga: 0.500 0.500 0.620
Ga: 0.500 0.500 0.873

Entry 8:
DFT (GGA-PBE) results for a geometry-optimized KRb structure.

Values from the calculation:
- Polymorph energy (0 for the lowest one): 6.8 meV per atom
- DFT formation energy: 0.0079 eV per atom

a b c (Å): 4.856 4.873 7.904
angles (deg): 89.64 89.45 60.44
Fractional positions:
K: 0.000 0.000 0.000
Rb: 0.665 0.652 0.500

Entry 9:
DFT (GGA-PBE) results for a geometry-optimized LiCrP structure.

Values from the calculation:
- DFT formation energy: -0.0661 eV per atom

a b c (Å): 3.949 3.949 2.654
angles (deg): 90.00 90.00 120.00
Fractional positions:
Li: 0.000 0.000 0.000
Cr: 0.333 0.667 0.517
P: 0.667 0.333 0.377

Entry 10:
DFT (GGA-PBE) results for a geometry-optimized Cr2SbBr structure.

Values from the calculation:
- Polymorph energy (0 for the lowest one): 0.0 meV per atom
- ΔE_f (raw): 77 meV per atom

a b c (Å): 3.424 3.424 7.825
angles (deg): 90.00 90.00 90.00
Fractional positions:
Cr: 0.000 0.000 0.000
Cr: 0.500 0.500 0.160
Sb: 0.000 0.000 0.356
Br: 0.500 0.500 0.818

Entry 11:
DFT (GGA-PBE) results for a geometry-optimized Ti5Sb3O structure.

Values from the calculation:
- ΔE_f (raw): -910 meV per atom

a b c (Å): 7.950 7.950 5.544
angles (deg): 90.00 90.00 120.00
Fractional positions:
Ti: 0.000 0.218 0.250
Ti: 0.000 0.782 0.750
Ti: 0.218 0.000 0.250
Ti: 0.218 0.218 0.750
Ti: 0.333 0.667 0.000
Ti: 0.333 0.667 0.500
Ti: 0.667 0.333 0.000
Ti: 0.667 0.333 0.500
Ti: 0.782 0.000 0.750
Ti: 0.782 0.782 0.250
Sb: 0.000 0.402 0.750
Sb: 0.000 0.598 0.250
Sb: 0.402 0.000 0.750
Sb: 0.402 0.402 0.250
Sb: 0.598 0.000 0.250
Sb: 0.598 0.598 0.750
O: 0.000 0.000 0.000
O: 0.000 0.000 0.500

Entry 12:
DFT (GGA-PBE) results for a geometry-optimized Zn2Fe2N structure.

Values from the calculation:
- ΔE_f (raw): 84 meV per atom

a b c (Å): 5.029 5.029 4.604
angles (deg): 90.00 90.00 90.00
Fractional positions:
Zn: 0.168 0.332 0.000
Zn: 0.332 0.832 0.000
Zn: 0.668 0.168 0.000
Zn: 0.832 0.668 0.000
Fe: 0.175 0.675 0.500
Fe: 0.325 0.175 0.500
Fe: 0.675 0.825 0.500
Fe: 0.825 0.325 0.500
N: 0.000 0.000 0.500
N: 0.500 0.500 0.500

Entry 13:
DFT (GGA-PBE) results for a geometry-optimized Ba3OsO6F2 structure.

Values from the calculation:
- ΔE_f (raw): -2191 meV per atom

a b c (Å): 7.297 7.297 5.365
angles (deg): 92.05 92.05 59.16
Fractional positions:
Ba: 0.000 0.000 0.000
Ba: 0.000 0.500 0.500
Ba: 0.500 0.000 0.500
Os: 0.500 0.500 0.500
O: 0.255 0.633 0.700
O: 0.367 0.745 0.300
O: 0.372 0.372 0.307
O: 0.628 0.628 0.693
O: 0.633 0.255 0.700
O: 0.745 0.367 0.300
F: 0.175 0.175 0.786
F: 0.825 0.825 0.214

Entry 14:
DFT (GGA-PBE) results for a geometry-optimized PrZn12Ir4 structure.

Values from the calculation:
- DFT formation energy: 0.1387 eV per atom

a b c (Å): 7.557 7.557 7.557
angles (deg): 109.47 109.47 109.47
Fractional positions:
Pr: 0.000 0.000 0.000
Zn: 0.164 0.515 0.351
Zn: 0.164 0.812 0.649
Zn: 0.188 0.351 0.836
Zn: 0.351 0.164 0.515
Zn: 0.351 0.836 0.188
Zn: 0.485 0.649 0.836
Zn: 0.515 0.351 0.164
Zn: 0.649 0.164 0.812
Zn: 0.649 0.836 0.485
Zn: 0.812 0.649 0.164
Zn: 0.836 0.188 0.351
Zn: 0.836 0.485 0.649
Ir: 0.000 0.000 0.500
Ir: 0.000 0.500 0.000
Ir: 0.500 0.000 0.000
Ir: 0.500 0.500 0.500

Entry 15:
DFT (GGA-PBE) results for a geometry-optimized Rb2LaNdTe4 structure.

Values from the calculation:
- ΔE_f (raw): -1450 meV per atom

a b c (Å): 8.135 4.697 8.972
angles (deg): 90.00 107.56 90.00
Fractional positions:
Rb: 0.000 0.000 0.000
Rb: 0.500 0.500 0.000
La: 0.000 0.500 0.500
Nd: 0.500 0.000 0.500
Te: 0.239 0.000 0.706
Te: 0.268 0.500 0.295
Te: 0.732 0.500 0.705
Te: 0.761 0.000 0.294

Entry 16:
DFT (GGA-PBE) results for a geometry-optimized Ba6Hg5P structure.

Values from the calculation:
- DFT formation energy: -0.5779 eV per atom

a b c (Å): 5.829 8.282 9.360
angles (deg): 90.00 108.07 90.00
Fractional positions:
Ba: 0.000 0.228 0.000
Ba: 0.000 0.772 0.000
Ba: 0.342 0.242 0.685
Ba: 0.342 0.758 0.685
Ba: 0.658 0.242 0.315
Ba: 0.658 0.758 0.315
Hg: 0.172 0.500 0.344
Hg: 0.180 0.000 0.358
Hg: 0.500 0.500 0.000
Hg: 0.820 0.000 0.642
Hg: 0.828 0.500 0.656
P: 0.500 0.000 0.000

Entry 17:
DFT (GGA-PBE) results for a geometry-optimized MnCoC2 structure.

Values from the calculation:
- DFT formation energy: 0.9402 eV per atom

a b c (Å): 4.956 4.956 4.956
angles (deg): 90.00 90.00 90.00
Fractional positions:
Mn: 0.000 0.000 0.000
Mn: 0.000 0.500 0.500
Mn: 0.500 0.000 0.500
Mn: 0.500 0.500 0.000
Co: 0.000 0.000 0.500
Co: 0.000 0.500 0.000
Co: 0.500 0.000 0.000
Co: 0.500 0.500 0.500
C: 0.250 0.250 0.250
C: 0.250 0.250 0.750
C: 0.250 0.750 0.250
C: 0.250 0.750 0.750
C: 0.750 0.250 0.250
C: 0.750 0.250 0.750
C: 0.750 0.750 0.250
C: 0.750 0.750 0.750

Entry 18:
DFT (GGA-PBE) results for a geometry-optimized RbNbTe structure.

Values from the calculation:
- Polymorph energy (0 for the lowest one): 691.2 meV per atom
- ΔE_f (raw): 278 meV per atom

a b c (Å): 3.613 3.613 24.303
angles (deg): 90.00 90.00 120.00
Fractional positions:
Rb: 0.000 0.000 0.000
Rb: 0.333 0.667 0.667
Rb: 0.667 0.333 0.333
Nb: 0.000 0.000 0.802
Nb: 0.333 0.667 0.469
Nb: 0.667 0.333 0.135
Te: 0.000 0.000 0.543
Te: 0.333 0.667 0.210
Te: 0.667 0.333 0.876

Entry 19:
DFT (GGA-PBE) results for a geometry-optimized ZnHgIr2 structure.

Values from the calculation:
- DFT formation energy: 0.5466 eV per atom

a b c (Å): 3.952 3.952 18.595
angles (deg): 90.00 90.00 90.00
Fractional positions:
Zn: 0.000 0.000 0.000
Zn: 0.000 0.500 0.250
Zn: 0.500 0.000 0.750
Zn: 0.500 0.500 0.500
Hg: 0.000 0.000 0.500
Hg: 0.000 0.500 0.750
Hg: 0.500 0.000 0.250
Hg: 0.500 0.500 0.000
Ir: 0.188 0.250 0.125
Ir: 0.250 0.688 0.375
Ir: 0.250 0.812 0.875
Ir: 0.312 0.250 0.625
Ir: 0.688 0.750 0.625
Ir: 0.750 0.188 0.875
Ir: 0.750 0.312 0.375
Ir: 0.812 0.750 0.125

Entry 20:
DFT (GGA-PBE) results for a geometry-optimized Sm2TmOs structure.

Values from the calculation:
- Polymorph energy (0 for the lowest one): 16.0 meV per atom
- DFT formation energy: -0.1813 eV per atom

a b c (Å): 4.050 11.864 9.114
angles (deg): 90.00 90.00 90.00
Fractional positions:
Sm: 0.000 0.142 0.066
Sm: 0.000 0.142 0.434
Sm: 0.000 0.858 0.566
Sm: 0.000 0.858 0.934
Sm: 0.500 0.358 0.566
Sm: 0.500 0.358 0.934
Sm: 0.500 0.642 0.066
Sm: 0.500 0.642 0.434
Tm: 0.000 0.422 0.250
Tm: 0.000 0.578 0.750
Tm: 0.500 0.078 0.750
Tm: 0.500 0.922 0.250
Os: 0.000 0.239 0.750
Os: 0.000 0.761 0.250
Os: 0.500 0.261 0.250
Os: 0.500 0.739 0.750

Entry 21:
DFT (GGA-PBE) results for a geometry-optimized LaHg2CBr structure.

Values from the calculation:
- ΔE_f (raw): 1066 meV per atom

a b c (Å): 6.429 6.429 5.725
angles (deg): 90.00 90.00 90.00
Fractional positions:
La: 0.000 0.000 0.000
Hg: 0.000 0.500 0.000
Hg: 0.500 0.000 0.000
C: 0.500 0.500 0.500
Br: 0.000 0.000 0.500

Entry 22:
DFT (GGA-PBE) results for a geometry-optimized BaGe2Br8 structure.

Values from the calculation:
- ΔE_f (raw): -841 meV per atom

a b c (Å): 8.134 8.134 9.505
angles (deg): 90.00 90.00 120.00
Fractional positions:
Ba: 0.000 0.000 0.000
Ge: 0.333 0.667 0.310
Ge: 0.667 0.333 0.690
Br: 0.158 0.317 0.249
Br: 0.158 0.842 0.249
Br: 0.317 0.158 0.751
Br: 0.333 0.667 0.558
Br: 0.667 0.333 0.442
Br: 0.683 0.842 0.249
Br: 0.842 0.158 0.751
Br: 0.842 0.683 0.751

Entry 23:
DFT (GGA-PBE) results for a geometry-optimized TaSF3 structure.

Values from the calculation:
- ΔE_f (raw): 412 meV per atom

a b c (Å): 4.328 4.328 4.328
angles (deg): 90.00 90.00 90.00
Fractional positions:
Ta: 0.000 0.000 0.000
S: 0.500 0.500 0.500
F: 0.000 0.500 0.500
F: 0.500 0.000 0.500
F: 0.500 0.500 0.000